{
  "formula": "Rb2ZnSn",
  "functional": "PBE",
  "state": "optimized geometry",
  "cell": [[0.000, 4.450, 4.450], [4.450, 0.000, 4.450], [4.450, 4.450, 0.000]],
  "species": ["Sn", "Rb", "Zn", "Rb"],
  "fractional_positions": [[0.500, 0.500, 0.500], [0.750, 0.750, 0.750], [0.000, 0.000, 0.000], [0.250, 0.250, 0.250]],
  "ef_mev_per_atom": 207.6,
  "space_group": "Fm-3m, No. 225",
  "crystal_system": "cubic"
}